# CsCa2TaMn

An optimized crystal structure of CsCa2TaMn (PBE, Alexandria via LeMat-Bulk).

CIF file:
```
data_CsCa2TaMn
_chemical_formula_sum 'Cs1 Ca2 Ta1 Mn1'
_cell_length_a 6.252
_cell_length_b 6.252
_cell_length_c 4.422
_cell_angle_alpha 90.00
_cell_angle_beta 90.00
_cell_angle_gamma 90.00
_symmetry_space_group_name_H-M 'P 1'
_symmetry_Int_Tables_number 1
loop_
_symmetry_equiv_pos_as_xyz
'x,y,z'
loop_
_atom_site_label
_atom_site_type_symbol
_atom_site_fract_x
_atom_site_fract_y
_atom_site_fract_z
Cs1 Cs 0.000 0.000 0.000
Ca1 Ca 0.000 0.500 0.500
Ca2 Ca 0.500 0.000 0.500
Ta1 Ta 0.500 0.500 0.500
Mn1 Mn 0.500 0.500 0.000
```

Results
E_form ... 1.03 eV per atom
Symmetry ... P4/mmm (123)
Total DFT energy (no corrections) ... -4.1457 eV/atom
Crystal system ... tetragonal
Spin magnetization ... 0.00 μB/cell